No. 1
Here is a geometry-optimized Cs6Cd2Au structure from the Alexandria database. Energies are from PBE-GGA.

Properties
SG: Immm (71)

Structure (POSCAR):
```
Cs6Cd2Au
1.0
10.9155 0.5351 3.6371
-5.5599 9.2625 3.9944
-0.2913 0.5351 11.5018
Cs Cd Au
12 4 2
direct
0.4934 0.2872 0.7938
0.1622 0.2243 0.6135
0.0810 0.2872 0.2062
0.9190 0.7128 0.7938
0.3293 0.6137 0.7156
0.5066 0.7128 0.2062
0.3293 0.0449 0.2844
0.6707 0.3863 0.2844
0.6707 0.9551 0.7156
0.1622 0.7757 0.0621
0.8378 0.7757 0.3865
0.8378 0.2243 0.9379
0.6115 0.0000 0.3885
0.3885 0.0000 0.6115
0.8928 0.3928 0.5000
0.1072 0.6072 0.5000
0.0000 0.0000 0.0000
0.5000 0.5000 0.0000
```

No. 2
Here is a geometry-optimized CsCd10Au2 structure from the Alexandria database. Energies are from PBE-GGA.

Properties
SG: Cmcm (63)

Structure (POSCAR):
```
CsCd10Au2
1.0
7.9305 -0.0035 0.0000
-1.1777 7.8426 0.0000
0.0000 0.0000 10.1358
Cd Au Cs
20 4 2
direct
0.6178 0.3822 0.5416
0.1463 0.4037 0.2500
0.3822 0.6178 0.4584
0.8372 0.1628 0.1033
0.2249 0.2249 0.0000
0.1628 0.8372 0.6033
0.7751 0.7751 0.5000
0.4037 0.1463 0.7500
0.7660 0.5238 0.2500
0.7751 0.7751 0.0000
0.2249 0.2249 0.5000
0.8537 0.5963 0.7500
0.8372 0.1628 0.3967
0.2340 0.4762 0.7500
0.6178 0.3822 0.9584
0.5963 0.8537 0.2500
0.1628 0.8372 0.8967
0.4762 0.2340 0.2500
0.5238 0.7660 0.7500
0.3822 0.6178 0.0416
0.0000 0.5000 0.5000
0.5000 0.0000 0.0000
0.0000 0.5000 0.0000
0.5000 0.0000 0.5000
0.1207 0.8793 0.2500
0.8793 0.1207 0.7500
```

No. 3
Here is a geometry-optimized Cs7CdAu3 structure from the Alexandria database. Energies are from PBE-GGA.

Properties
Excess energy over the best structure of this formula in the dataset: 0.00 eV/f.u.
SG: C2/m (12)

Structure (POSCAR):
```
Cs7CdAu3
1.0
-5.6449 -0.6217 -6.8386
7.9079 1.3698 -4.0834
0.3752 -8.6204 2.1367
Cs Au Cd
7 3 1
direct
0.8529 0.7763 0.8529
0.0356 0.2727 0.6202
0.9644 0.7273 0.3798
0.1471 0.2237 0.1471
0.6202 0.2727 0.0356
0.5000 0.0000 0.5000
0.3798 0.7273 0.9644
0.7798 0.0000 0.2202
0.0000 0.5000 0.0000
0.2202 0.0000 0.7798
0.5000 0.5000 0.5000
```

No. 4
Here is a geometry-optimized Cs12CdAu7 structure from the Alexandria database. Energies are from PBE-GGA.

Properties
SG: R-3 (148)

Structure (POSCAR):
```
Cs12CdAu7
1.0
11.6197 -0.5037 -0.7561
-3.7149 11.0214 -0.7561
-3.7149 -4.9427 9.8799
Au Cd Cs
7 1 12
direct
0.9803 0.0594 0.7680
0.7680 0.9803 0.0594
0.0197 0.9406 0.2320
0.0594 0.7680 0.9803
0.2320 0.0197 0.9406
0.5000 0.5000 0.5000
0.9406 0.2320 0.0197
0.0000 0.0000 0.0000
0.1140 0.3160 0.3885
0.3885 0.1140 0.3160
0.8860 0.6840 0.6115
0.2381 0.0940 0.6558
0.6115 0.8860 0.6840
0.6558 0.2381 0.0940
0.6840 0.6115 0.8860
0.0940 0.6558 0.2381
0.3442 0.7619 0.9060
0.7619 0.9060 0.3442
0.9060 0.3442 0.7619
0.3160 0.3885 0.1140
```

Number 1: D(E_F) 12.92 states/eV/cell, DFT formation energy -0.52 eV/f.u., E_tot -1.195 eV per atom. Number 2: D(E_F) 9.73 states/eV/cell, DFT formation energy -0.96 eV/f.u., E_tot -1.348 eV per atom. Number 3: D(E_F) 12.04 states/eV/cell, DFT formation energy -1.68 eV/f.u., E_tot -1.673 eV per atom. Number 4: D(E_F) 11.51 states/eV/cell, DFT formation energy -4.52 eV/f.u., E_tot -1.931 eV per atom.